No. 1
# GaReSn2Mo

An optimized crystal structure of GaReSn2Mo (GGA-PBE, the Alexandria database).

Lattice parameters (Å, degrees): 5.2457 5.2457 4.8266 90.00 90.00 90.00
Space group P4/mmm (No. 123)
Inequivalent atoms, fractional coordinates:
Ga: 0.0000 0.0000 0.0000 [1 per cell]
Re: 0.5000 0.5000 0.0000 [1 per cell]
Sn: 0.0000 0.5000 0.5000 [2 per cell]
Mo: 0.5000 0.5000 0.5000 [1 per cell]

Results
The magnetization is 0.34 μB per atom. Its calculated volume is 132.81 Å³/f.u. The value obtained for the formation enthalpy at 0 K is 1085 meV/atom. The energy is -5.778 eV per atom.

---

No. 2
# TaGaRe2Mo

An optimized crystal structure of TaGaRe2Mo (GGA-PBE, the Alexandria database).

Lattice parameters (Å, degrees): 4.4739 4.4739 4.6157 90.00 90.00 90.00
Space group P4/mmm (No. 123)
Inequivalent atoms, fractional coordinates:
Ta: 0.0000 0.0000 0.0000 [1 per cell]
Ga: 0.0000 0.0000 0.5000 [1 per cell]
Re: 0.0000 0.5000 0.5000 [2 per cell]
Mo: 0.5000 0.5000 0.0000 [1 per cell]

Results
The magnetization is 0.00 μB per atom. Its calculated volume is 92.39 Å³/f.u. The value obtained for the formation enthalpy at 0 K is 1668 meV/atom. The energy is -8.453 eV per atom.

---

No. 3
# GaReTcMo

An optimized crystal structure of GaReTcMo (GGA-PBE, the Alexandria database).

Lattice parameters (Å, degrees): 6.2134 6.2134 6.2134 90.00 90.00 90.00
Space group F-43m (No. 216)
Inequivalent atoms, fractional coordinates:
Ga: 0.0000 0.0000 0.0000 [4 per cell]
Re: 0.2500 0.2500 0.7500 [4 per cell]
Tc: 0.2500 0.2500 0.2500 [4 per cell]
Mo: 0.0000 0.0000 0.5000 [4 per cell]

Results
The magnetization is 0.00 μB per atom. Its calculated volume is 59.97 Å³/f.u. The value obtained for the formation enthalpy at 0 K is 27 meV/atom. The energy is -9.141 eV per atom.

---

Which formula does entry 1 have? GaReSn2Mo